VASP calculation (PBE) on RbH after structural relaxation.

a b c (Å): 4.9826 4.9826 5.9504
angles (deg): 90.00 90.00 120.00
Space group P6_3/mmc (No. 194)
Asymmetric unit:
Rb 0.3333 0.6667 0.2500
H 0.3333 0.6667 0.7500

Results
Its mass density is 2.24 g/cm3. Its raw total energy is -2.31 eV per atom. The density of states at the Fermi level is 0.0 states/eV/cell. Its magnetization is 0.0 μB/f.u.

---

VASP calculation (PBE) on PmAl10Ru2 after structural relaxation.

a b c (Å): 9.126 10.274 9.192
angles (deg): 90.00 90.00 90.00
Space group Cmcm (No. 63)
Asymmetric unit:
Pm 0.000 0.125 0.250
Al 0.000 0.159 0.601
Al 0.000 0.378 0.049
Al 0.150 0.370 0.750
Al 0.225 0.365 0.250
Al 0.226 0.000 0.000
Ru 0.250 0.250 0.000

Results
Its mass density is 4.75 g/cm3. The density of states at the Fermi level is 13.5 states/eV/cell. Its magnetization is 0.0 μB/f.u. Its formation energy is -0.52 eV/atom.

---

VASP calculation (PBE) on SnH4 after structural relaxation.

a b c (Å): 3.9627 3.9627 6.5542
angles (deg): 90.00 90.00 120.00
Space group P6_3/mmc (No. 194)
Asymmetric unit:
Sn 0.3333 0.6667 0.2500
H 0.0000 0.0000 0.0610
H 0.3333 0.6667 0.5614

Results
As for the offset from the most stable computed form: 411 meV per atom. Its mass density is 4.57 g/cm3. The density of states at the Fermi level is 2.1 states/eV/cell. Its magnetization is 0.0 μB/f.u.

---

VASP calculation (PBE) on BaNbH after structural relaxation.

a b c (Å): 3.453 4.655 9.212
angles (deg): 90.00 90.22 90.00
Space group P2_1/m (No. 11)
Asymmetric unit:
Ba 0.003 0.250 0.295
Nb 0.499 0.250 0.947
H 0.002 0.750 0.163

Results
As for the offset from the most stable computed form: 89 meV per atom. Its mass density is 5.19 g/cm3. The density of states at the Fermi level is 1.8 states/eV/cell. Its magnetization is 0.0 μB/f.u.

---

VASP calculation (PBE) on CsLaP2 after structural relaxation.

a b c (Å): 5.876 5.876 18.948
angles (deg): 90.00 90.00 90.00
Space group I-42d (No. 122)
Asymmetric unit:
Cs 0.000 0.000 0.000
La 0.000 0.000 0.500
P 0.053 0.250 0.625

Results
Its mass density is 3.39 g/cm3. The density of states at the Fermi level is 2.0 states/eV/cell. Its magnetization is 0.0 μB/f.u. Its formation energy is -0.33 eV/atom.

---

VASP calculation (PBE) on LiCaDy after structural relaxation.

a b c (Å): 3.5822 3.5822 8.5352
angles (deg): 90.00 90.00 120.00
Space group P3m1 (No. 156)
Asymmetric unit:
Li 0.0000 0.0000 0.0000
Ca 0.6667 0.3333 0.3333
Dy 0.3333 0.6667 0.6911

Results
As for the offset from the most stable computed form: 24 meV per atom. Its mass density is 3.67 g/cm3. The density of states at the Fermi level is 3.3 states/eV/cell. Its magnetization is 0.0 μB/f.u. Its formation energy is 0.16 eV/atom.

---

VASP calculation (PBE) on PtAu2Se after structural relaxation.

a b c (Å): 3.946 4.786 4.006
angles (deg): 90.00 93.96 90.00
Space group P2/m (No. 10)
Asymmetric unit:
Pt 0.000 0.000 0.000
Au 0.249 0.500 0.751
Se 0.500 0.000 0.500

Results
For the uncorrected formation energy, the calculation gives 67 kJ/mol of formula units. Its mass density is 14.69 g/cm3. The density of states at the Fermi level is 1.8 states/eV/cell. Its magnetization is 0.0 μB/f.u.

---

VASP calculation (PBE) on La5YHoTm2 after structural relaxation.

a b c (Å): 5.488 21.749 10.624
angles (deg): 90.00 90.00 90.00
Space group Cmc2_1 (No. 36)
Asymmetric unit:
La 0.000 0.000 0.000
La 0.000 0.123 0.250
La 0.000 0.220 0.559
La 0.000 0.221 0.939
La 0.000 0.500 0.250
Y 0.000 0.100 0.750
Ho 0.000 0.289 0.249
Tm 0.000 0.386 0.499
Tm 0.000 0.387 0.001

Results
Its mass density is 6.74 g/cm3. The density of states at the Fermi level is 57.3 states/eV/cell. Its magnetization is 0.0 μB/f.u. Its formation energy is 0.13 eV/atom.

---

VASP calculation (PBE) on Sr2TbSn3Rh4 after structural relaxation.

a b c (Å): 4.516 4.516 11.440
angles (deg): 90.00 90.00 90.00
Space group P-4m2 (No. 115)
Asymmetric unit:
Sr 0.000 0.500 0.233
Tb 0.000 0.000 0.500
Sn 0.000 0.500 0.878
Sn 0.500 0.500 0.500
Rh 0.000 0.000 0.000
Rh 0.000 0.500 0.642
Rh 0.500 0.500 0.000

Results
Its mass density is 7.84 g/cm3. The density of states at the Fermi level is 5.1 states/eV/cell. Its magnetization is 0.0 μB/f.u. Its formation energy is -0.69 eV/atom.

---

VASP calculation (PBE) on UCoIr after structural relaxation.

a b c (Å): 3.687 3.687 7.704
angles (deg): 90.00 90.00 90.00
Space group I4mm (No. 107)
Asymmetric unit:
U 0.000 0.000 0.000
Co 0.000 0.000 0.293
Ir 0.000 0.000 0.636

Results
As for the offset from the most stable computed form: 311 meV per atom. Its mass density is 15.51 g/cm3. The density of states at the Fermi level is 5.4 states/eV/cell. Its magnetization is 0.0 μB/f.u. Its formation energy is -0.11 eV/atom.

---

VASP calculation (PBE) on Na2InBIr after structural relaxation.

a b c (Å): 5.040 5.040 3.990
angles (deg): 90.00 90.00 90.00
Space group P4/mmm (No. 123)
Asymmetric unit:
Na 0.000 0.500 0.000
In 0.000 0.000 0.500
B 0.500 0.500 0.000
Ir 0.500 0.500 0.500

Results
Its mass density is 5.96 g/cm3. The density of states at the Fermi level is 2.5 states/eV/cell. Its magnetization is 0.0 μB/f.u. Its formation energy is 0.30 eV/atom.

---

VASP calculation (PBE) on Np2P7Ru12 after structural relaxation.

a b c (Å): 9.4615 9.4615 3.9046
angles (deg): 90.00 90.00 120.00
Space group P-6 (No. 174)
Asymmetric unit:
Np 0.0000 0.0000 0.0000
Np 0.3333 0.6667 0.5000
P 0.0848 0.4463 0.0000
P 0.2665 0.2186 0.5000
P 0.6667 0.3333 0.0000
Ru 0.0558 0.2795 0.5000
Ru 0.0982 0.6960 0.0000
Ru 0.3948 0.1734 0.0000
Ru 0.5417 0.4245 0.5000

Results
Its mass density is 10.44 g/cm3. The density of states at the Fermi level is 25.1 states/eV/cell. Its magnetization is 5.7 μB/f.u. Its formation energy is -0.63 eV/atom.